DFT (PBE with a Hubbard U) results for VPO7 after structural relaxation.

Lattice parameters (Å, degrees): 5.9390 7.8307 12.7086 97.05 68.75 107.57
Sites, in units of the cell vectors:
1 V 0.9929 0.3047 0.1208
2 V 0.4234 0.7046 0.3815
3 V 0.0071 0.6953 0.8792
4 V 0.5766 0.2954 0.6185
5 P 0.8554 0.5091 0.3686
6 P 0.2583 0.1291 0.8686
7 P 0.1446 0.4909 0.6314
8 P 0.7417 0.8709 0.1314
9 O 0.2788 0.3766 0.1156
10 O 0.4532 0.9115 0.4114
11 O 0.1760 0.9404 0.8219
12 O 0.9171 0.4660 0.0524
13 O 0.9373 0.8189 0.0283
14 O 0.7593 0.7833 0.6496
15 O 0.6972 0.6435 0.3962
16 O 0.1362 0.6142 0.3387
17 O 0.8240 0.0596 0.1781
18 O 0.7212 0.6234 0.8844
19 O 0.8194 0.3898 0.2661
20 O 0.0627 0.1811 0.9717
21 O 0.3028 0.3565 0.6038
22 O 0.6809 0.0846 0.8369
23 O 0.0617 0.0827 0.3850
24 O 0.2246 0.6077 0.5285
25 O 0.3191 0.9154 0.1631
26 O 0.5468 0.0885 0.5886
27 O 0.2407 0.2167 0.3504
28 O 0.0829 0.5340 0.9476
29 O 0.9383 0.9173 0.6150
30 O 0.8638 0.3858 0.6613
31 O 0.1806 0.6102 0.7339
32 O 0.6211 0.7282 0.2223
33 O 0.3789 0.2718 0.7777
34 O 0.4894 0.1307 0.9193
35 O 0.7754 0.3923 0.4715
36 O 0.5106 0.8693 0.0807

Properties
Total magnetic moment   0.1705 μB/atom
E   -6.703 eV/atom
Energy above the lowest structure with this stoichiometry   0.32 eV per formula unit
V   14.6 Å³/atom